A geometry-optimized NdSmNi2Pb structure, computed with PBE.

Output
The value obtained for the total energy is -5.32 eV per atom.

abc: 3.7439 4.0931 14.5055
angles: 90.00 90.00 90.00
Closest atoms and distances in Å follow each position.
Space group Amm2 (No. 38)
One atom of each set of equivalent atoms:
1 Nd 0.0000 0.0000 0.0000 x2  6 Ni 2.91-2.98
2 Sm 0.0000 0.0000 0.2797 x2  6 Ni 2.91-2.97
3 Ni 0.5000 0.0000 0.4389 x2  2 Ni 2.50
4 Ni 0.5000 0.0000 0.8400 x2  2 Ni 2.50
5 Pb 0.5000 0.0000 0.6403 x2  2 Ni 2.90-2.92

A geometry-optimized NdNiPd structure, computed with PBE.

Output
The energy of formation from the pure elements is -0.95 eV/f.u.

abc: 6.3076 6.3076 6.3076
angles: 90.00 90.00 90.00
Closest atoms and distances in Å follow each position.
Space group F-43m (No. 216)
One atom of each set of equivalent atoms:
1 Nd 0.0000 0.0000 0.0000 x4  4 Ni 2.73
2 Ni 0.2500 0.2500 0.2500 x4  4 Nd 2.73, 4 Pd 2.73
3 Pd 0.0000 0.0000 0.5000 x4  4 Ni 2.73

A geometry-optimized Pr2NdNiSn3Pd2 structure, computed with PBE.

Output
The value obtained for the total energy is -5.52 eV per atom.

abc: 4.0776 13.2560 7.6545
angles: 90.00 90.00 90.00
Closest atoms and distances in Å follow each position.
Space group Amm2 (No. 38)
One atom of each set of equivalent atoms:
1 Pr 0.0000 0.2041 0.0000 x4  4 Pd 3.09, 1 Ni 3.13, 6 Sn 3.36-3.40
2 Nd 0.0000 0.0000 0.3885 x2  4 Pd 3.08, 1 Ni 3.11, 6 Sn 3.36-3.39
3 Ni 0.0000 0.0000 0.7951 x2  6 Sn 2.75-2.77
4 Sn 0.5000 0.0000 0.0392 x2  2 Ni 2.77, 2 Pd 2.95
5 Sn 0.5000 0.1210 0.6741 x4  2 Ni 2.75, 2 Pd 2.95-2.97
6 Pd 0.5000 0.1659 0.2962 x4  3 Sn 2.95-2.97, 2 Nd 3.08, 4 Pr 3.09